Mg2Tl3HgF9 after structural relaxation. Source: the Alexandria database, functional PBE.

Unit cell a=6.023 b=6.023 c=7.499 alpha=90.00 beta=90.00 gamma=120.00
Fractional positions:
Mg (0.333, 0.667, 0.149)
Mg (0.667, 0.333, 0.851)
Tl (0.000, 0.000, 0.000)
Tl (0.333, 0.667, 0.666)
Tl (0.667, 0.333, 0.334)
Hg (0.000, 0.000, 0.500)
F (0.000, 0.500, 0.000)
F (0.178, 0.355, 0.311)
F (0.178, 0.822, 0.311)
F (0.355, 0.178, 0.689)
F (0.500, 0.000, 0.000)
F (0.500, 0.500, 0.000)
F (0.645, 0.822, 0.311)
F (0.822, 0.178, 0.689)
F (0.822, 0.645, 0.689)

Computed properties:
DFT total energy: -63.65 eV per cell
E_form (uncorrected): -233 kJ per mole of atoms
M_tot: 0.00 μB per cell

PaPb4 after structural relaxation. Source: the Alexandria database, functional PBE.

Unit cell a=5.964 b=5.964 c=5.964 alpha=90.00 beta=90.00 gamma=90.00
Fractional positions:
Pa (0.000, 0.000, 0.000)
Pb (0.000, 0.000, 0.500)
Pb (0.000, 0.500, 0.000)
Pb (0.500, 0.000, 0.000)
Pb (0.500, 0.500, 0.500)

Computed properties:
DFT total energy: -20.52 eV per cell
Calculated formation energy: 0.761 eV/atom
M_tot: 0.56 μB per cell

Tl2HgOs after structural relaxation. Source: the Alexandria database, functional PBE.

Unit cell a=3.038 b=3.038 c=11.496 alpha=90.00 beta=90.00 gamma=115.70
Fractional positions:
Tl (0.000, 0.000, 0.212)
Tl (0.000, 0.000, 0.788)
Hg (0.500, 0.500, 0.500)
Os (0.500, 0.500, 0.000)

Computed properties:
DFT total energy: -13.34 eV per cell
Calculated formation energy: 0.732 eV/atom
E above lowest polymorph: 135 meV per atom
M_tot: 0.56 μB per cell

TiMn after structural relaxation. Source: the Alexandria database, functional PBE.

Unit cell a=6.907 b=6.907 c=4.279 alpha=90.00 beta=90.00 gamma=120.00
Fractional positions:
Ti (0.173, 0.346, 0.250)
Ti (0.173, 0.827, 0.250)
Ti (0.346, 0.173, 0.750)
Ti (0.654, 0.827, 0.250)
Ti (0.827, 0.173, 0.750)
Ti (0.827, 0.654, 0.750)
Mn (0.116, 0.558, 0.750)
Mn (0.442, 0.558, 0.750)
Mn (0.442, 0.884, 0.750)
Mn (0.558, 0.116, 0.250)
Mn (0.558, 0.442, 0.250)
Mn (0.884, 0.442, 0.250)

Computed properties:
DFT total energy: -101.55 eV per cell
Calculated formation energy: 0.070 eV/atom
M_tot: 0.00 μB per cell

Copy entry 1 word for word.
Mg2Tl3HgF9 after structural relaxation. Source: the Alexandria database, functional PBE.

Unit cell a=6.023 b=6.023 c=7.499 alpha=90.00 beta=90.00 gamma=120.00
Fractional positions:
Mg (0.333, 0.667, 0.149)
Mg (0.667, 0.333, 0.851)
Tl (0.000, 0.000, 0.000)
Tl (0.333, 0.667, 0.666)
Tl (0.667, 0.333, 0.334)
Hg (0.000, 0.000, 0.500)
F (0.000, 0.500, 0.000)
F (0.178, 0.355, 0.311)
F (0.178, 0.822, 0.311)
F (0.355, 0.178, 0.689)
F (0.500, 0.000, 0.000)
F (0.500, 0.500, 0.000)
F (0.645, 0.822, 0.311)
F (0.822, 0.178, 0.689)
F (0.822, 0.645, 0.689)

Computed properties:
DFT total energy: -63.65 eV per cell
E_form (uncorrected): -233 kJ per mole of atoms
M_tot: 0.00 μB per cell

Which value of DFT total energy does entry 3 give?
-13.34 eV per cell